No. 1
A plane-wave DFT calculation with PBE was carried out for crystalline Al4CuPt at its relaxed geometry.

a b c (Å): 4.1441 4.1441 5.8473
angles (deg): 90.00 90.00 90.00
With the nearest neighbours (Å) after each atom.
Atoms (fractional coordinates):
Al1 0.0000 0.5000 0.2440  2 Cu 2.52, 2 Pt 2.56
Al2 0.0000 0.5000 0.7560  2 Cu 2.52, 2 Pt 2.56
Al3 0.5000 0.0000 0.2440  2 Cu 2.52, 2 Pt 2.56
Al4 0.5000 0.0000 0.7560  2 Cu 2.52, 2 Pt 2.56
Cu1 0.0000 0.0000 0.0000  8 Al 2.52
Pt1 0.5000 0.5000 0.5000  8 Al 2.56

Calculated values
Calculated density (g/cm3): 6.06
Volume (Å³ per cell): 100.4
Final energy (hartree per atom): -0.17133



No. 2
A plane-wave DFT calculation with PBE was carried out for crystalline Al2CuPt2 at its relaxed geometry.

a b c (Å): 3.7680 3.7680 11.6099
angles (deg): 90.00 90.00 90.00
With the nearest neighbours (Å) after each atom.
Atoms (fractional coordinates):
Al1 0.0000 0.5000 0.2500  4 Pt 2.47, 4 Al 2.66
Al2 0.0000 0.5000 0.7500  4 Pt 2.47, 4 Al 2.66
Al3 0.5000 0.0000 0.2500  4 Pt 2.47, 4 Al 2.66
Al4 0.5000 0.0000 0.7500  4 Pt 2.47, 4 Al 2.66
Cu1 0.0000 0.0000 0.0000  8 Pt 2.96
Cu2 0.5000 0.5000 0.5000  8 Pt 2.96
Pt1 0.0000 0.0000 0.3882  4 Al 2.47, 1 Pt 2.60
Pt2 0.0000 0.0000 0.6118  4 Al 2.47, 1 Pt 2.60
Pt3 0.5000 0.5000 0.1118  4 Al 2.47, 1 Pt 2.60
Pt4 0.5000 0.5000 0.8882  4 Al 2.47, 1 Pt 2.60

Calculated values
Calculated density (g/cm3): 10.23
Volume (Å³ per cell): 164.8
Final energy (hartree per atom): -0.19135



No. 3
A plane-wave DFT calculation with PBE was carried out for crystalline AlCuPt2 at its relaxed geometry.

a b c (Å): 3.5863 3.9027 3.9923
angles (deg): 90.00 90.00 90.00
With the nearest neighbours (Å) after each atom.
Atoms (fractional coordinates):
Al1 0.0000 0.0000 0.0000  8 Pt 2.65-2.68, 4 Cu 2.79
Cu1 0.0000 0.5000 0.5000  8 Pt 2.65-2.68, 4 Al 2.79
Pt1 0.5000 0.0000 0.5000  4 Cu 2.65, 4 Al 2.68, 4 Pt 2.79
Pt2 0.5000 0.5000 0.0000  4 Al 2.65, 4 Cu 2.68, 4 Pt 2.79

Calculated values
Calculated density (g/cm3): 14.29
Volume (Å³ per cell): 55.9
Final energy (hartree per atom): -0.20558



No. 4
A plane-wave DFT calculation with PBE was carried out for crystalline AlCuRePt at its relaxed geometry.

a b c (Å): 6.1446 6.1446 6.1446
angles (deg): 90.00 90.00 90.00
With the nearest neighbours (Å) after each atom.
Atoms (fractional coordinates):
Al1 0.0000 0.0000 0.0000  4 Re 2.66, 4 Cu 2.66
Al2 0.0000 0.5000 0.5000  4 Re 2.66, 4 Cu 2.66
Al3 0.5000 0.0000 0.5000  4 Re 2.66, 4 Cu 2.66
Al4 0.5000 0.5000 0.0000  4 Re 2.66, 4 Cu 2.66
Cu1 0.2500 0.2500 0.2500  4 Al 2.66, 4 Pt 2.66
Cu2 0.2500 0.7500 0.7500  4 Al 2.66, 4 Pt 2.66
Cu3 0.7500 0.2500 0.7500  4 Al 2.66, 4 Pt 2.66
Cu4 0.7500 0.7500 0.2500  4 Al 2.66, 4 Pt 2.66
Re1 0.2500 0.2500 0.7500  4 Pt 2.66, 4 Al 2.66
Re2 0.2500 0.7500 0.2500  4 Pt 2.66, 4 Al 2.66
Re3 0.7500 0.2500 0.2500  4 Pt 2.66, 4 Al 2.66
Re4 0.7500 0.7500 0.7500  4 Al 2.66, 4 Pt 2.66
Pt1 0.0000 0.0000 0.5000  4 Cu 2.66, 4 Re 2.66
Pt2 0.0000 0.5000 0.0000  4 Cu 2.66, 4 Re 2.66
Pt3 0.5000 0.0000 0.0000  4 Cu 2.66, 4 Re 2.66
Pt4 0.5000 0.5000 0.5000  4 Cu 2.66, 4 Re 2.66

Calculated values
Energy relative to the lowest polymorph listed for this composition (meV per atom): 0
Calculated density (g/cm3): 13.51
Volume (Å³ per cell): 232.0
Final energy (hartree per atom): -0.23561



No. 5
A plane-wave DFT calculation with PBE was carried out for crystalline Sc2Al4CuPt at its relaxed geometry.

a b c (Å): 6.6420 4.1682 9.7762
angles (deg): 90.00 90.00 90.00
With the nearest neighbours (Å) after each atom.
Atoms (fractional coordinates):
Sc1 0.0000 0.0000 0.0000  3 Pt 2.76-2.98, 4 Al 2.96
Sc2 0.0000 0.5000 0.5000  3 Pt 2.76-2.98, 4 Al 2.96
Sc3 0.5000 0.0000 0.1483  3 Cu 2.72-3.00, 4 Al 2.93
Sc4 0.5000 0.5000 0.6483  3 Cu 2.72-3.00, 4 Al 2.93
Al1 0.2047 0.0000 0.7121  1 Cu 2.49, 2 Pt 2.58, 2 Al 2.72-2.75
Al2 0.2047 0.5000 0.2121  1 Cu 2.49, 2 Pt 2.58, 2 Al 2.72-2.75
Al3 0.3031 0.0000 0.4391  1 Pt 2.53, 2 Cu 2.55, 2 Al 2.62-2.75
Al4 0.3031 0.5000 0.9391  1 Pt 2.53, 2 Cu 2.55, 2 Al 2.62-2.75
Al5 0.6969 0.0000 0.4391  1 Pt 2.53, 2 Cu 2.55, 2 Al 2.62-2.75
Al6 0.6969 0.5000 0.9391  1 Pt 2.53, 2 Cu 2.55, 2 Al 2.62-2.75
Al7 0.7953 0.0000 0.7121  1 Cu 2.49, 2 Pt 2.58, 2 Al 2.72-2.75
Al8 0.7953 0.5000 0.2121  1 Cu 2.49, 2 Pt 2.58, 2 Al 2.72-2.75
Cu1 0.5000 0.0000 0.8697  6 Al 2.49-2.55, 1 Sc 2.72
Cu2 0.5000 0.5000 0.3697  6 Al 2.49-2.55, 1 Sc 2.72
Pt1 0.0000 0.0000 0.2819  6 Al 2.53-2.58, 1 Sc 2.76
Pt2 0.0000 0.5000 0.7819  6 Al 2.53-2.58, 1 Sc 2.76

Calculated values
Calculated density (g/cm3): 5.60
Volume (Å³ per cell): 270.7
Final energy (hartree per atom): -0.19826



No. 6
A plane-wave DFT calculation with PBE was carried out for crystalline TbAlCuPt at its relaxed geometry.

a b c (Å): 4.3455 4.3455 9.0499
angles (deg): 90.00 90.00 120.00
With the nearest neighbours (Å) after each atom.
Atoms (fractional coordinates):
Tb1 0.0000 0.0000 0.0000  2 Pt 2.86, 6 Cu 2.94
Tb2 0.3333 0.6667 0.5000  2 Cu 2.99, 6 Pt 3.01, 6 Al 3.34
Al1 0.6667 0.3333 0.2559  3 Pt 2.57, 3 Cu 2.63
Al2 0.6667 0.3333 0.7441  3 Pt 2.57, 3 Cu 2.63
Cu1 0.3333 0.6667 0.1697  3 Al 2.63, 3 Pt 2.84, 3 Tb 2.94
Cu2 0.3333 0.6667 0.8303  3 Al 2.63, 3 Pt 2.84, 3 Tb 2.94
Pt1 0.0000 0.0000 0.3161  3 Al 2.57, 3 Cu 2.84, 1 Tb 2.86
Pt2 0.0000 0.0000 0.6839  3 Al 2.57, 3 Cu 2.84, 1 Tb 2.86

Calculated values
Energy relative to the lowest polymorph listed for this composition (meV per atom): 11
Calculated density (g/cm3): 9.98
Volume (Å³ per cell): 148.0
Final energy (hartree per atom): -0.19633



No. 7
A plane-wave DFT calculation with PBE was carried out for crystalline TbAlCuPt at its relaxed geometry.

a b c (Å): 4.3546 4.3546 9.0192
angles (deg): 90.00 90.00 120.00
With the nearest neighbours (Å) after each atom.
Atoms (fractional coordinates):
Tb1 0.3333 0.6667 0.0000  4 Cu 2.91-2.98, 4 Pt 2.95-2.96
Tb2 0.6667 0.3333 0.5000  4 Cu 2.91-2.98, 4 Pt 2.95-2.96
Al1 0.0000 0.0000 0.2343  3 Pt 2.57, 3 Cu 2.64
Al2 0.0000 0.0000 0.7343  3 Pt 2.57, 3 Cu 2.64
Cu1 0.3333 0.6667 0.3231  3 Al 2.64, 3 Pt 2.85, 1 Tb 2.91
Cu2 0.6667 0.3333 0.8231  3 Al 2.64, 3 Pt 2.85, 1 Tb 2.91
Pt1 0.3333 0.6667 0.6732  3 Al 2.57, 3 Cu 2.85
Pt2 0.6667 0.3333 0.1732  3 Al 2.57, 3 Cu 2.85

Calculated values
Energy relative to the lowest polymorph listed for this composition (meV per atom): 0
Calculated density (g/cm3): 9.97
Volume (Å³ per cell): 148.1
Final energy (hartree per atom): -0.19672



No. 8
A plane-wave DFT calculation with PBE was carried out for crystalline TbAlCuPt at its relaxed geometry.

a b c (Å): 4.3427 4.3427 8.9733
angles (deg): 90.00 90.00 120.00
With the nearest neighbours (Å) after each atom.
Atoms (fractional coordinates):
Tb1 0.3333 0.6667 0.2512  4 Cu 2.88-2.97, 4 Pt 2.90-3.05
Tb2 0.6667 0.3333 0.7488  4 Cu 2.88-2.97, 4 Pt 2.90-3.05
Al1 0.0000 0.0000 0.0000  6 Pt 2.63
Al2 0.0000 0.0000 0.5000  6 Cu 2.59
Cu1 0.3333 0.6667 0.5718  3 Al 2.59, 3 Cu 2.82, 1 Tb 2.88
Cu2 0.6667 0.3333 0.4282  3 Al 2.59, 3 Cu 2.82, 1 Tb 2.88
Pt1 0.3333 0.6667 0.9118  3 Al 2.63, 3 Tb 2.90
Pt2 0.6667 0.3333 0.0882  3 Al 2.63, 3 Tb 2.90

Calculated values
Energy relative to the lowest polymorph listed for this composition (meV per atom): 34
Calculated density (g/cm3): 10.07
Volume (Å³ per cell): 146.6
Final energy (hartree per atom): -0.19547



No. 9
A plane-wave DFT calculation with PBE was carried out for crystalline Y2Al4CuPt at its relaxed geometry.

a b c (Å): 6.8166 4.2789 10.2559
angles (deg): 90.00 90.00 90.00
With the nearest neighbours (Å) after each atom.
Atoms (fractional coordinates):
Y1 0.0000 0.0000 0.0000  3 Pt 2.89-3.09, 6 Al 3.07-3.22
Y2 0.0000 0.5000 0.5000  3 Pt 2.89-3.09, 6 Al 3.07-3.22
Y3 0.5000 0.0000 0.1447  3 Cu 2.88-3.10, 4 Al 3.05
Y4 0.5000 0.5000 0.6447  3 Cu 2.88-3.10, 4 Al 3.05
Al1 0.1991 0.0000 0.7156  1 Cu 2.55, 2 Pt 2.62, 1 Al 2.71
Al2 0.1991 0.5000 0.2156  1 Cu 2.55, 2 Pt 2.62, 1 Al 2.71
Al3 0.3056 0.0000 0.4320  1 Pt 2.59, 2 Cu 2.61, 1 Al 2.65
Al4 0.3056 0.5000 0.9320  1 Pt 2.59, 2 Cu 2.61, 1 Al 2.65
Al5 0.6944 0.0000 0.4320  1 Pt 2.59, 2 Cu 2.61, 1 Al 2.65
Al6 0.6944 0.5000 0.9320  1 Pt 2.59, 2 Cu 2.61, 1 Al 2.65
Al7 0.8009 0.0000 0.7156  1 Cu 2.55, 2 Pt 2.62, 1 Al 2.71
Al8 0.8009 0.5000 0.2156  1 Cu 2.55, 2 Pt 2.62, 1 Al 2.71
Cu1 0.5000 0.0000 0.8640  6 Al 2.55-2.61
Cu2 0.5000 0.5000 0.3640  6 Al 2.55-2.61
Pt1 0.0000 0.0000 0.2821  6 Al 2.59-2.62, 1 Y 2.89
Pt2 0.0000 0.5000 0.7821  6 Al 2.59-2.62, 1 Y 2.89

Calculated values
Calculated density (g/cm3): 6.04
Volume (Å³ per cell): 299.1
Final energy (hartree per atom): -0.20018



No. 10
A plane-wave DFT calculation with PBE was carried out for crystalline PuAlCu at its relaxed geometry.

a b c (Å): 6.2527 6.2527 6.2527
angles (deg): 90.00 90.00 90.00
With the nearest neighbours (Å) after each atom.
Atoms (fractional coordinates):
Pu1 0.0000 0.0000 0.0000  4 Cu 2.71
Pu2 0.0000 0.5000 0.5000  4 Cu 2.71
Pu3 0.5000 0.0000 0.5000  4 Cu 2.71
Pu4 0.5000 0.5000 0.0000  4 Cu 2.71
Al1 0.0000 0.0000 0.5000  4 Cu 2.71
Al2 0.0000 0.5000 0.0000  4 Cu 2.71
Al3 0.5000 0.0000 0.0000  4 Cu 2.71
Al4 0.5000 0.5000 0.5000  4 Cu 2.71
Cu1 0.2500 0.2500 0.7500  4 Pu 2.71, 4 Al 2.71
Cu2 0.2500 0.7500 0.2500  4 Al 2.71, 4 Pu 2.71
Cu3 0.7500 0.2500 0.2500  4 Al 2.71, 4 Pu 2.71
Cu4 0.7500 0.7500 0.7500  4 Pu 2.71, 4 Al 2.71

Calculated values
Calculated density (g/cm3): 9.09
Volume (Å³ per cell): 244.5
Final energy (hartree per atom): -0.25953



No. 11
A plane-wave DFT calculation with PBE was carried out for crystalline RbAlCuSe3 at its relaxed geometry.

a b c (Å): 15.9054 3.7466 10.2867
angles (deg): 90.00 90.00 90.00
With the nearest neighbours (Å) after each atom.
Atoms (fractional coordinates):
Rb1 0.2349 0.2500 0.0431  7 Se 3.45-3.75, 2 Rb 3.75
Rb2 0.2651 0.7500 0.5431  7 Se 3.45-3.75, 2 Rb 3.75
Rb3 0.7349 0.2500 0.4569  7 Se 3.45-3.75, 2 Rb 3.75
Rb4 0.7651 0.7500 0.9569  7 Se 3.45-3.75, 2 Rb 3.75
Al1 0.0179 0.2500 0.3530  6 Se 2.54-2.82
Al2 0.4821 0.7500 0.8530  6 Se 2.54-2.82
Al3 0.5179 0.2500 0.1470  6 Se 2.54-2.82
Al4 0.9821 0.7500 0.6470  6 Se 2.54-2.82
Cu1 0.0121 0.7500 0.0856  4 Se 2.43-2.44, 2 Cu 2.60
Cu2 0.4879 0.2500 0.5856  4 Se 2.43-2.44, 2 Cu 2.60
Cu3 0.5121 0.7500 0.4144  4 Se 2.43-2.44, 2 Cu 2.60
Cu4 0.9879 0.2500 0.9144  4 Se 2.43-2.44, 2 Cu 2.60
Se1 0.0816 0.7500 0.8738  3 Cu 2.43-2.44
Se2 0.0845 0.2500 0.5770  3 Al 2.54-2.58
Se3 0.1127 0.7500 0.2653  1 Cu 2.44, 2 Al 2.57
Se4 0.3873 0.2500 0.7653  1 Cu 2.44, 2 Al 2.57
Se5 0.4155 0.7500 0.0770  3 Al 2.54-2.58
Se6 0.4184 0.2500 0.3738  3 Cu 2.43-2.44
Se7 0.5816 0.7500 0.6262  3 Cu 2.43-2.44
Se8 0.5845 0.2500 0.9230  3 Al 2.54-2.58
Se9 0.6127 0.7500 0.2347  1 Cu 2.44, 2 Al 2.57
Se10 0.8873 0.2500 0.7347  1 Cu 2.44, 2 Al 2.57
Se11 0.9155 0.7500 0.4230  3 Al 2.54-2.58
Se12 0.9184 0.2500 0.1262  3 Cu 2.43-2.44

Calculated values
Calculated density (g/cm3): 4.47
Volume (Å³ per cell): 613.0
Final energy (hartree per atom): -0.14182



No. 12
A plane-wave DFT calculation with PBE was carried out for crystalline RbAlCuTe3 at its relaxed geometry.

a b c (Å): 16.9967 4.0074 11.0140
angles (deg): 90.00 90.00 90.00
With the nearest neighbours (Å) after each atom.
Atoms (fractional coordinates):
Rb1 0.2313 0.2500 0.0371  7 Te 3.67-4.05, 2 Rb 4.01
Rb2 0.2687 0.7500 0.5371  7 Te 3.67-4.05, 2 Rb 4.01
Rb3 0.7313 0.2500 0.4629  7 Te 3.67-4.05, 2 Rb 4.01
Rb4 0.7687 0.7500 0.9629  7 Te 3.67-4.05, 2 Rb 4.01
Al1 0.0148 0.2500 0.3458  6 Te 2.79-2.88
Al2 0.4852 0.7500 0.8458  6 Te 2.79-2.88
Al3 0.5148 0.2500 0.1542  6 Te 2.79-2.88
Al4 0.9852 0.7500 0.6542  6 Te 2.79-2.88
Cu1 0.0105 0.7500 0.0761  4 Te 2.61-2.66, 2 Cu 2.64
Cu2 0.4895 0.2500 0.5761  4 Te 2.61-2.66, 2 Cu 2.64
Cu3 0.5105 0.7500 0.4239  4 Te 2.61-2.66, 2 Cu 2.64
Cu4 0.9895 0.2500 0.9239  4 Te 2.61-2.66, 2 Cu 2.64
Te1 0.0835 0.7500 0.8674  3 Cu 2.61-2.64, 1 Al 2.88
Te2 0.0894 0.2500 0.5713  3 Al 2.79-2.83
Te3 0.1138 0.7500 0.2578  1 Cu 2.66, 2 Al 2.79
Te4 0.3862 0.2500 0.7578  1 Cu 2.66, 2 Al 2.79
Te5 0.4106 0.7500 0.0713  3 Al 2.79-2.83
Te6 0.4165 0.2500 0.3674  3 Cu 2.61-2.64, 1 Al 2.88
Te7 0.5835 0.7500 0.6326  3 Cu 2.61-2.64, 1 Al 2.88
Te8 0.5894 0.2500 0.9287  3 Al 2.79-2.83
Te9 0.6138 0.7500 0.2422  1 Cu 2.66, 2 Al 2.79
Te10 0.8862 0.2500 0.7422  1 Cu 2.66, 2 Al 2.79
Te11 0.9106 0.7500 0.4287  3 Al 2.79-2.83
Te12 0.9165 0.2500 0.1326  3 Cu 2.61-2.64, 1 Al 2.88

Calculated values
Calculated density (g/cm3): 4.95
Volume (Å³ per cell): 750.2
Final energy (hartree per atom): -0.12642



volume of number 8 (TbAlCuPt)?
146.6 Å³ per cell



final energy of number 12 (RbAlCuTe3)?
-0.12642 hartree per atom



Which of these has the highest final energy?
RbAlCuTe3



Copy entry 1 word for word.
A plane-wave DFT calculation with PBE was carried out for crystalline Al4CuPt at its relaxed geometry.

a b c (Å): 4.1441 4.1441 5.8473
angles (deg): 90.00 90.00 90.00
With the nearest neighbours (Å) after each atom.
Atoms (fractional coordinates):
Al1 0.0000 0.5000 0.2440  2 Cu 2.52, 2 Pt 2.56
Al2 0.0000 0.5000 0.7560  2 Cu 2.52, 2 Pt 2.56
Al3 0.5000 0.0000 0.2440  2 Cu 2.52, 2 Pt 2.56
Al4 0.5000 0.0000 0.7560  2 Cu 2.52, 2 Pt 2.56
Cu1 0.0000 0.0000 0.0000  8 Al 2.52
Pt1 0.5000 0.5000 0.5000  8 Al 2.56

Calculated values
Calculated density (g/cm3): 6.06
Volume (Å³ per cell): 100.4
Final energy (hartree per atom): -0.17133